Run P
Material: Al2InSb2
Method: DFT, PBE
State: relaxed

Calculated values
Space-group type: P4/mbm (127)

Lattice parameters (Å, degrees): 8.558 8.558 3.365 90.00 90.00 90.00
Fractional positions:
Sb  0.341  0.841  0.000
Sb  0.841  0.659  0.000
Sb  0.659  0.159  0.000
Sb  0.159  0.341  0.000
Al  0.136  0.636  0.500
Al  0.636  0.864  0.500
Al  0.864  0.364  0.500
Al  0.364  0.136  0.500
In  0.000  0.000  0.000
In  0.500  0.500  0.000

Run Q
Material: Al2InSb2
Method: DFT, PBE
State: relaxed

Calculated values
Space-group type: I4/mmm (139)

Lattice parameters (Å, degrees): 4.259 4.259 8.058 74.67 74.67 90.00
Fractional positions:
Sb  0.373  0.373  0.255
Sb  0.627  0.627  0.745
Al  0.750  0.250  0.500
Al  0.250  0.750  0.500
In  0.000  0.000  0.000

Run R
Material: Al2InSb2
Method: DFT, PBE
State: relaxed

Calculated values
Space-group type: P4/mbm (127)

Lattice parameters (Å, degrees): 7.949 7.949 3.775 90.00 90.00 90.00
Fractional positions:
Sb  0.163  0.663  0.500
Sb  0.663  0.837  0.500
Sb  0.837  0.337  0.500
Sb  0.337  0.163  0.500
Al  0.372  0.872  0.000
Al  0.872  0.628  0.000
Al  0.628  0.128  0.000
Al  0.128  0.372  0.000
In  0.000  0.000  0.000
In  0.500  0.500  0.000

Run S
Material: Al2InSb2
Method: DFT, PBE
State: relaxed

Calculated values
Space-group type: I4/mmm (139)

Lattice parameters (Å, degrees): 5.211 5.211 6.123 64.81 64.81 90.00
Fractional positions:
Sb  0.750  0.250  0.500
Sb  0.250  0.750  0.500
Al  0.367  0.367  0.265
Al  0.633  0.633  0.735
In  0.000  0.000  0.000

Stability ranking, top entry: run Q; the second entry is 0.060 eV/atom less favorable.

Run P
Material: AlIn3Sb
Method: DFT, PBE
State: relaxed

Calculated values
Space-group type: Pm-3m (221)

Lattice parameters (Å, degrees): 5.317 5.317 5.317 90.00 90.00 90.00
Fractional positions:
Sb  0.500  0.500  0.500
Al  0.000  0.000  0.000
In  0.000  0.500  0.000
In  0.000  0.000  0.500
In  0.500  0.000  0.000

Run Q
Material: AlIn3Sb
Method: DFT, PBE
State: relaxed

Calculated values
Space-group type: Pm-3m (221)

Lattice parameters (Å, degrees): 5.700 5.700 5.700 90.00 90.00 90.00
Fractional positions:
Sb  0.000  0.000  0.000
Al  0.500  0.500  0.500
In  0.000  0.500  0.000
In  0.000  0.000  0.500
In  0.500  0.000  0.000

Stability ranking, top entry: run P; the second entry is 0.361 eV/atom less favorable.

Run P
Material: Al2In2Sb
Method: DFT, PBE
State: relaxed

Calculated values
Space-group type: I4/mmm (139)

Lattice parameters (Å, degrees): 3.888 3.888 8.618 76.96 76.96 90.00
Fractional positions:
Sb  0.000  0.000  0.000
Al  0.750  0.250  0.500
Al  0.250  0.750  0.500
In  0.396  0.396  0.207
In  0.604  0.604  0.793

Run Q
Material: Al2In2Sb
Method: DFT, PBE
State: relaxed

Calculated values
Space-group type: P4/mbm (127)

Lattice parameters (Å, degrees): 7.407 7.407 4.460 90.00 90.00 90.00
Fractional positions:
Sb  0.000  0.000  0.000
Sb  0.500  0.500  0.000
Al  0.373  0.873  0.000
Al  0.873  0.627  0.000
Al  0.627  0.127  0.000
Al  0.127  0.373  0.000
In  0.174  0.674  0.500
In  0.674  0.826  0.500
In  0.826  0.326  0.500
In  0.326  0.174  0.500

Run R
Material: Al2In2Sb
Method: DFT, PBE
State: relaxed

Calculated values
Space-group type: I4/mmm (139)

Lattice parameters (Å, degrees): 4.270 4.270 7.346 73.11 73.11 90.00
Fractional positions:
Sb  0.000  0.000  0.000
Al  0.404  0.404  0.191
Al  0.596  0.596  0.809
In  0.750  0.250  0.500
In  0.250  0.750  0.500

Stability ranking, top entry: run Q; the second entry is 0.059 eV/atom less favorable.

Run P
Material: AlIn2Sb2
Method: DFT, PBE
State: relaxed

Calculated values
Space-group type: P4/mbm (127)

Lattice parameters (Å, degrees): 8.213 8.213 4.047 90.00 90.00 90.00
Fractional positions:
Sb  0.335  0.835  0.000
Sb  0.835  0.665  0.000
Sb  0.665  0.165  0.000
Sb  0.165  0.335  0.000
Al  0.000  0.000  0.000
Al  0.500  0.500  0.000
In  0.141  0.641  0.500
In  0.641  0.859  0.500
In  0.859  0.359  0.500
In  0.359  0.141  0.500

Run Q
Material: AlIn2Sb2
Method: DFT, PBE
State: relaxed

Calculated values
Space-group type: P4/mbm (127)

Lattice parameters (Å, degrees): 8.278 8.278 3.966 90.00 90.00 90.00
Fractional positions:
Sb  0.156  0.656  0.500
Sb  0.656  0.844  0.500
Sb  0.844  0.344  0.500
Sb  0.344  0.156  0.500
Al  0.000  0.000  0.000
Al  0.500  0.500  0.000
In  0.357  0.857  0.000
In  0.857  0.643  0.000
In  0.643  0.143  0.000
In  0.143  0.357  0.000

Stability ranking, top entry: run P; the second entry is 0.049 eV/atom less favorable.